PBE-GGA Na5SeCl2O4, relaxed; total moment = 1.0 μB per formula unit; energy relative to the elements, uncorrected = -1.3802 eV/atom; total energy = -4.18 eV per atom
1.0
7.3556 0.0000 0.0000
0.0000 4.8533 2.9903
0.0000 -4.8533 2.9903
Na Se Cl O
5 1 2 4
Direct
0.0000 0.0000 0.0000
0.2898 0.2150 0.5780
0.2898 0.5780 0.2150
0.7102 0.2150 0.5780
0.7102 0.5780 0.2150
0.5000 0.9226 0.9226
0.0000 0.4804 0.8480
0.0000 0.8480 0.4804
0.3128 0.1135 0.1135
0.5000 0.5886 0.9040
0.5000 0.9040 0.5886
0.6872 0.1135 0.1135